[1]
The following is a PBE calculation of a relaxed structure of HgPdSe3, from Alexandria.

a = 4.9925 Å, b = 4.9925 Å, c = 4.9925 Å
α = 90.00°, β = 90.00°, γ = 90.00°
Sites, in units of the cell vectors:
Hg: 0.5000 0.5000 0.5000
Se: 0.5000 0.0000 0.0000
Pd: 0.0000 0.0000 0.0000
Se: 0.0000 0.0000 0.5000
Se: 0.0000 0.5000 0.0000

Calculated values
Polymorph energy (0 for the lowest one)   0 meV per atom
Crystal system   cubic
Energy relative to the elements, uncorrected   0.3765 eV per atom

[2]
The following is a PBE calculation of a relaxed structure of CsTmAgCl6, from Alexandria.

a = 7.2107 Å, b = 6.7888 Å, c = 7.7821 Å
α = 88.12°, β = 86.19°, γ = 57.78°
Last column: magnetic moment on the atom in μB.
Sites, in units of the cell vectors:
Cl: 0.3742 0.6318 0.3321  0.11
Cl: 0.3799 0.0106 0.6943  0.14
Cs: 0.0185 0.9636 0.9993  0.00
Cl: 0.9930 0.6340 0.6671  0.11
Cl: 0.6113 0.0073 0.3052  0.14
Ag: 0.3347 0.3312 0.4995  0.37
Tm: 0.6773 0.6446 0.5002  0.00
Cl: 0.9742 0.3855 0.2753  0.02
Cl: 0.6367 0.3914 0.7271  0.02

Calculated values
Crystal system   triclinic
Energy relative to the elements, uncorrected   -1.5907 eV per atom

[3]
The following is a PBE calculation of a relaxed structure of ZrCoW, from Alexandria.

a = 5.9138 Å, b = 5.9137 Å, c = 2.9833 Å
α = 75.39°, β = 75.39°, γ = 29.22°
Sites, in units of the cell vectors:
Zr: 0.6617 0.6617 0.3383
W: 0.3596 0.3596 0.6404
Co: 0.9788 0.9788 0.0212

Calculated values
DFT formation energy   0.0516 eV per atom
Polymorph energy (0 for the lowest one)   151 meV per atom
Crystal system   tetragonal

[4]
The following is a PBE calculation of a relaxed structure of LiMnW3, from Alexandria.

a = 4.5090 Å, b = 4.5090 Å, c = 4.5090 Å
α = 90.00°, β = 90.00°, γ = 90.00°
Sites, in units of the cell vectors:
W: 0.0000 0.0000 0.5000
Mn: 0.0000 0.0000 0.0000
W: 0.0000 0.5000 0.0000
W: 0.5000 0.0000 0.0000
Li: 0.5000 0.5000 0.5000

Calculated values
DFT formation energy   1.4119 eV per atom
Polymorph energy (0 for the lowest one)   0 meV per atom
Crystal system   cubic

[5]
The following is a PBE calculation of a relaxed structure of La2CuHgIr, from Alexandria.

a = 4.3991 Å, b = 7.4430 Å, c = 7.9888 Å
α = 104.82°, β = 90.00°, γ = 90.00°
Sites, in units of the cell vectors:
Ir: 0.2500 0.8717 0.9060
La: 0.7500 0.8611 0.6608
Hg: 0.2500 0.6557 0.3561
Cu: 0.7500 0.4389 0.3125
Hg: 0.7500 0.3443 0.6439
La: 0.7500 0.7230 0.0623
Cu: 0.2500 0.5611 0.6875
La: 0.2500 0.1389 0.3392
Ir: 0.7500 0.1283 0.0940
La: 0.2500 0.2770 0.9377

Calculated values
DFT formation energy   -0.4764 eV per atom
Polymorph energy (0 for the lowest one)   0 meV per atom
Crystal system   monoclinic

[6]
The following is a PBE calculation of a relaxed structure of Pm11Sm9Ho4, from Alexandria.

a = 3.6794 Å, b = 15.5595 Å, c = 15.5595 Å
α = 113.76°, β = 90.00°, γ = 90.00°
Sites, in units of the cell vectors:
Pm: 0.0000 0.4032 0.0417
Sm: 0.5000 0.0638 0.2128
Pm: 0.0000 0.3698 0.6302
Pm: 0.0000 0.6302 0.3698
Ho: 0.5000 0.2402 0.4427
Ho: 0.5000 0.5573 0.7598
Pm: 0.0000 0.9583 0.5968
Sm: 0.5000 0.9362 0.7872
Ho: 0.5000 0.7598 0.5573
Pm: 0.0000 0.5968 0.9583
Sm: 0.5000 0.6278 0.1658
Sm: 0.5000 0.3722 0.8342
Pm: 0.0000 0.0000 0.0000
Sm: 0.5000 0.1658 0.6278
Sm: 0.5000 0.2128 0.0638
Pm: 0.0000 0.0417 0.4032
Pm: 0.0000 0.1634 0.8366
Sm: 0.5000 0.5000 0.5000
Pm: 0.0000 0.2899 0.2899
Pm: 0.0000 0.7101 0.7101
Pm: 0.0000 0.8366 0.1634
Sm: 0.5000 0.8342 0.3722
Ho: 0.5000 0.4427 0.2402
Sm: 0.5000 0.7872 0.9362

Calculated values
DFT formation energy   0.0552 eV per atom
Crystal system   orthorhombic

[7]
The following is a PBE calculation of a relaxed structure of CuTeSe2, from Alexandria.

a = 3.8154 Å, b = 7.5918 Å, c = 14.9161 Å
α = 90.00°, β = 90.00°, γ = 90.00°
Sites, in units of the cell vectors:
Cu: 0.7500 0.6645 0.4453
Cu: 0.2500 0.3355 0.5547
Se: 0.2500 0.3544 0.1809
Se: 0.7500 0.1589 0.9474
Te: 0.7500 0.5785 0.1151
Se: 0.2500 0.8411 0.0526
Se: 0.7500 0.8544 0.3191
Te: 0.2500 0.0785 0.3849
Te: 0.7500 0.9215 0.6151
Se: 0.2500 0.1456 0.6809
Se: 0.2500 0.6589 0.5526
Cu: 0.2500 0.1645 0.0547
Se: 0.7500 0.3411 0.4474
Se: 0.7500 0.6456 0.8191
Te: 0.2500 0.4215 0.8849
Cu: 0.7500 0.8355 0.9453

Calculated values
Crystal system   orthorhombic
Energy relative to the elements, uncorrected   0.0074 eV per atom

[8]
The following is a PBE calculation of a relaxed structure of Cs2Cd7Au, from Alexandria.

a = 5.1616 Å, b = 5.1616 Å, c = 12.1319 Å
α = 90.00°, β = 90.00°, γ = 90.00°
Sites, in units of the cell vectors:
Au: 0.5000 0.5000 0.0000
Cd: 0.0000 0.0000 0.0000
Cd: 0.5000 0.0000 0.3688
Cd: 0.5000 0.5000 0.5000
Cs: 0.5000 0.0000 0.7609
Cd: 0.0000 0.5000 0.6312
Cd: 0.0000 0.5000 0.8805
Cd: 0.0000 0.0000 0.5000
Cs: 0.0000 0.5000 0.2391
Cd: 0.5000 0.0000 0.1195

Calculated values
DFT formation energy   -0.0726 eV per atom
Polymorph energy (0 for the lowest one)   0 meV per atom
Crystal system   tetragonal